(1)
# Tm6Te5 | Alexandria | GGA-PBE | relaxed
data_Tm6Te5
_cell_length_a 7.337
_cell_length_b 7.332
_cell_length_c 7.307
_cell_angle_alpha 80.04
_cell_angle_beta 69.77
_cell_angle_gamma 59.98
_symmetry_space_group_name_H-M 'P 1'
_symmetry_Int_Tables_number 1
loop_
_symmetry_equiv_pos_as_xyz
'x,y,z'
loop_
_atom_site_label
_atom_site_fract_x
_atom_site_fract_y
_atom_site_fract_z
Tm1 0.782 0.000 0.744
Tm2 0.218 0.000 0.256
Tm3 0.357 0.709 0.785
Tm4 0.934 0.709 0.215
Tm5 0.643 0.291 0.215
Tm6 0.066 0.291 0.785
Te1 0.500 0.000 0.500
Te2 0.339 0.322 0.000
Te3 0.661 0.678 0.000
Te4 0.189 0.622 0.500
Te5 0.811 0.378 0.500
# Total magnetic moment   0.00 μB/f.u.
# Energy relative to the elements, uncorrected   -11.3 eV/f.u.
# E   -53.83 eV/cell

(2)
# Tm3Te2 | Alexandria | GGA-PBE | relaxed
data_Tm3Te2
_cell_length_a 4.042
_cell_length_b 11.506
_cell_length_c 11.796
_cell_angle_alpha 90.00
_cell_angle_beta 90.00
_cell_angle_gamma 90.00
_symmetry_space_group_name_H-M 'P 1'
_symmetry_Int_Tables_number 1
loop_
_symmetry_equiv_pos_as_xyz
'x,y,z'
loop_
_atom_site_label
_atom_site_fract_x
_atom_site_fract_y
_atom_site_fract_z
Tm1 0.250 0.623 0.542
Tm2 0.250 0.877 0.042
Tm3 0.750 0.377 0.458
Tm4 0.750 0.123 0.958
Tm5 0.750 0.070 0.622
Tm6 0.750 0.430 0.122
Tm7 0.250 0.930 0.378
Tm8 0.250 0.570 0.878
Tm9 0.250 0.294 0.705
Tm10 0.250 0.206 0.205
Tm11 0.750 0.706 0.295
Tm12 0.750 0.794 0.795
Te1 0.250 0.178 0.463
Te2 0.250 0.322 0.963
Te3 0.750 0.822 0.537
Te4 0.750 0.678 0.037
Te5 0.750 0.501 0.697
Te6 0.750 0.999 0.197
Te7 0.250 0.499 0.303
Te8 0.250 0.001 0.803
# Total magnetic moment   0.00 μB/f.u.
# Energy relative to the elements, uncorrected   -4.9 eV/f.u.
# E   -98.23 eV/cell